DFT (GGA-PBE) results for an optimized crystal structure of Y2In5Pd3.

```
Y2In5Pd3
1.0
-2.7063 -0.5678 -3.5853
3.2424 -6.3076 -1.4485
-7.5569 -6.0718 9.5248
In Pd Y
10 6 4
direct
0.7080 0.9942 0.4160
0.4017 0.4066 0.8034
0.9470 0.1051 0.8939
0.2932 0.9093 0.5865
0.5983 0.9066 0.1966
0.7068 0.4093 0.4135
0.1239 0.2539 0.2477
0.8761 0.7539 0.7523
0.0530 0.6051 0.1061
0.2920 0.4942 0.5840
0.9550 0.4967 0.9100
0.2268 0.1996 0.4537
0.7732 0.6996 0.5463
0.3912 0.0193 0.7825
0.6088 0.5193 0.2175
0.0450 0.9967 0.0900
0.4790 0.7747 0.9580
0.8251 0.2054 0.6503
0.5210 0.2747 0.0420
0.1749 0.7054 0.3497
```

Computed properties:
As for the formation enthalpy at 0 K: -628 meV/atom. Its total moment is 0.0 μB per cell. Its total energy is -97.0 eV per cell. Its volume is 219.6 Å³/f.u.

***

DFT (GGA-PBE) results for an optimized crystal structure of YIn2Pd8.

```
YIn2Pd8
1.0
4.1752 0.0000 0.0000
0.0000 6.5295 0.2669
-2.0876 -2.5048 6.8345
In Pd Y
2 8 1
direct
0.7797 0.3421 0.5594
0.2203 0.6579 0.4406
0.5945 0.4644 0.1891
0.3196 0.0851 0.6391
0.9600 0.2789 0.9200
0.4055 0.5356 0.8109
0.1427 0.1985 0.2854
0.8573 0.8015 0.7146
0.0400 0.7211 0.0800
0.6804 0.9149 0.3609
0.5000 0.0000 0.0000
```

Computed properties:
As for the formation enthalpy at 0 K: -547 meV/atom. Its total moment is 0.0 μB per cell. Its total energy is -59.5 eV per cell. Its volume is 189.1 Å³/f.u.

***

DFT (GGA-PBE) results for an optimized crystal structure of Y4InPd7.

```
Y4InPd7
1.0
-4.5729 -2.5232 0.1641
-0.5194 -3.9096 8.6083
-4.6338 3.1272 2.1514
Y Pd In
4 7 1
direct
0.7906 0.6341 0.7847
0.4074 0.7862 0.3991
0.2094 0.3659 0.2153
0.5926 0.2138 0.6009
0.0774 0.6906 0.1547
0.5000 0.0000 0.0000
0.3676 0.5207 0.7440
0.2104 0.0918 0.4873
0.9226 0.3094 0.8453
0.6324 0.4793 0.2560
0.7896 0.9082 0.5127
0.0000 0.0000 0.0000
```

Computed properties:
As for the formation enthalpy at 0 K: -683 meV/atom. Its total moment is 0.0 μB per cell. Its total energy is -73.1 eV per cell. Its volume is 256.2 Å³/f.u.

***

DFT (GGA-PBE) results for an optimized crystal structure of YIn2Pd2.

```
YIn2Pd2
1.0
4.1894 0.0000 0.0000
0.0000 4.1894 0.0000
2.0947 2.0947 6.2493
Pd In Y
2 2 1
direct
0.3948 0.3948 0.2103
0.6052 0.6052 0.7897
0.7500 0.2500 0.5000
0.2500 0.7500 0.5000
0.0000 0.0000 0.0000
```

Computed properties:
The energy above the lowest structure with this stoichiometry comes out at 112 meV/atom. As for the formation enthalpy at 0 K: -557 meV/atom. Its total moment is 0.0 μB per cell. Its total energy is -25.1 eV per cell. Its volume is 109.7 Å³/f.u.

***

DFT (GGA-PBE) results for an optimized crystal structure of YIn3Pd2.

```
YIn3Pd2
1.0
-4.6760 -7.1689 1.3944
-5.5353 1.2121 6.5645
2.7846 1.4812 -8.0780
Y Pd In
2 4 6
direct
0.1258 0.6258 0.5000
0.8742 0.3742 0.5000
0.7083 0.7083 0.0000
0.2917 0.2917 0.0000
0.1514 0.0000 0.1514
0.8486 0.0000 0.8486
0.4681 0.1731 0.2950
0.5319 0.8269 0.7050
0.8780 0.1731 0.7050
0.3446 0.5000 0.8446
0.6554 0.5000 0.1554
0.1220 0.8269 0.2950
```

Computed properties:
As for the formation enthalpy at 0 K: -571 meV/atom. Its total moment is 0.0 μB per cell. Its total energy is -57.0 eV per cell. Its volume is 132.3 Å³/f.u.

***

DFT (GGA-PBE) results for an optimized crystal structure of Y2InPd2.

```
Y2InPd2
1.0
-5.1641 1.1151 -1.4667
1.4316 -0.3193 -5.2831
-2.7239 -3.5645 -3.3678
Y Pd In
2 2 1
direct
0.7500 0.2500 0.5000
0.2500 0.7500 0.5000
0.6564 0.6564 0.6871
0.3436 0.3436 0.3129
0.0000 0.0000 0.0000
```

Computed properties:
As for the formation enthalpy at 0 K: -622 meV/atom. Its total moment is 0.0 μB per cell. Its total energy is -29.2 eV per cell. Its volume is 121.9 Å³/f.u.

***

DFT (GGA-PBE) results for an optimized crystal structure of Y5InPd4.

```
Y5InPd4
1.0
3.5615 0.0000 0.0000
0.0000 3.5615 0.0000
0.0000 0.0000 17.9925
Pd Y In
4 5 1
direct
0.0000 0.0000 0.4038
0.0000 0.0000 0.7909
0.0000 0.0000 0.2091
0.0000 0.0000 0.5962
0.5000 0.5000 0.6928
0.5000 0.5000 0.1162
0.5000 0.5000 0.5000
0.5000 0.5000 0.8838
0.5000 0.5000 0.3072
0.0000 0.0000 0.0000
```

Computed properties:
As for the formation enthalpy at 0 K: -796 meV/atom. Its total moment is 0.0 μB per cell. Its total energy is -63.8 eV per cell. Its volume is 228.2 Å³/f.u.

***

DFT (GGA-PBE) results for an optimized crystal structure of Y2InPd5.

```
Y2InPd5
1.0
6.4042 0.0078 0.0033
0.0080 6.4042 0.0025
-3.2051 -3.2044 3.6757
Pd In Y
5 1 2
direct
0.6980 0.2532 0.9510
0.6985 0.6985 0.9514
0.2531 0.6979 0.9508
0.2530 0.2530 0.9517
0.7547 0.7547 0.5097
0.1514 0.1514 0.3029
0.2342 0.7342 0.4682
0.7341 0.2341 0.4682
```

Computed properties:
As for the formation enthalpy at 0 K: -753 meV/atom. Its total moment is 0.0 μB per cell. Its total energy is -47.7 eV per cell. Its volume is 150.9 Å³/f.u.